[1]
Compound: Cu3AgAu5
Source: Alexandria
Functional: PBE-GGA
Structure: relaxed

abc: 5.492 7.856 7.856
angles: 120.01 90.00 90.00
Fractional positions:
1 Au 0.750 0.000 0.328
2 Au 0.000 0.667 0.333
3 Au 0.500 0.667 0.333
4 Au 0.250 0.672 0.000
5 Au 0.000 0.333 0.667
6 Au 0.750 0.672 0.672
7 Au 0.500 0.333 0.667
8 Au 0.250 0.000 0.672
9 Au 0.750 0.328 0.000
10 Au 0.250 0.328 0.328
11 Cu 0.750 0.337 0.337
12 Cu 0.250 0.663 0.663
13 Cu 0.250 0.337 0.000
14 Cu 0.750 0.000 0.663
15 Cu 0.250 0.000 0.337
16 Cu 0.750 0.663 0.000
17 Ag 0.000 0.000 0.000
18 Ag 0.500 0.000 0.000

Values from the calculation:
M_tot = 0.00 Bohr magnetons per cell
Energy above the lowest structure with this stoichiometry = 0.000 eV/f.u.


[2]
Compound: CuAgAu2
Source: Alexandria
Functional: PBE-GGA
Structure: relaxed

abc: 8.972 8.972 8.972
angles: 19.06 19.06 19.06
Fractional positions:
1 Cu 0.250 0.250 0.250
2 Au 0.506 0.506 0.506
3 Au 0.994 0.994 0.994
4 Ag 0.750 0.750 0.750

Values from the calculation:
M_tot = 0.00 Bohr magnetons per cell
Energy above the lowest structure with this stoichiometry = 0.305 eV/f.u.


[3]
Compound: CuAg12Au5
Source: Alexandria
Functional: PBE-GGA
Structure: relaxed

abc: 8.728 8.766 5.133
angles: 107.69 90.00 60.14
Fractional positions:
1 Ag 0.501 0.666 0.499
2 Ag 0.164 0.000 0.500
3 Ag 0.672 0.000 0.000
4 Ag 0.499 0.334 0.501
5 Ag 0.166 0.335 0.501
6 Ag 0.834 0.665 0.499
7 Ag 0.328 0.000 0.000
8 Ag 0.671 0.329 0.996
9 Ag 0.000 0.329 0.996
10 Ag 0.000 0.671 0.004
11 Ag 0.329 0.671 0.004
12 Ag 0.836 0.000 0.500
13 Cu 0.000 0.000 0.000
14 Au 0.333 0.335 0.003
15 Au 0.162 0.675 0.515
16 Au 0.667 0.665 0.997
17 Au 0.838 0.325 0.485
18 Au 0.500 0.000 0.500

Values from the calculation:
M_tot = 0.00 Bohr magnetons per cell


[4]
Compound: Cu5AgAu4
Source: Alexandria
Functional: PBE-GGA
Structure: relaxed

abc: 2.826 3.688 14.471
angles: 90.00 90.00 90.00
Fractional positions:
1 Au 0.000 0.000 0.199
2 Au 0.000 0.000 0.400
3 Au 0.000 0.000 0.600
4 Au 0.000 0.000 0.801
5 Cu 0.500 0.500 0.900
6 Cu 0.500 0.500 0.100
7 Cu 0.500 0.500 0.500
8 Cu 0.500 0.500 0.300
9 Cu 0.500 0.500 0.700
10 Ag 0.000 0.000 0.000

Values from the calculation:
M_tot = 0.00 Bohr magnetons per cell
Energy above the lowest structure with this stoichiometry = 0.000 eV/f.u.


Number 1: formation energy from the elements 1 kJ per mole of atoms. Number 2: formation energy from the elements 3 kJ per mole of atoms. Number 3: formation energy from the elements -2 kJ per mole of atoms. Number 4: formation energy from the elements -2 kJ per mole of atoms.